Entry 1:
## Sc3GeC (PBE)

Data for Sc3GeC after structural relaxation.

Structure (extended XYZ):
```
5
Lattice="-3.200 0.299 0.431 -1.192 -2.884 -6.845 0.570 -3.479 6.645" Properties=species:S:1:pos:R:3 pbc="T T T"
Sc -1.655 -1.593 1.017
Sc 0.125 -3.329 3.237
Sc -1.943 -4.546 0.924
Ge -1.188 -3.276 5.644
C -0.156 -3.234 1.088
```

Calculated values
**Energy relative to the elements**: 0.096 eV/atom
**Total moment**: 0.000 μB per atom
**Volume**: 141.2 Å³/f.u.

=====

Entry 2:
## Sc3GeC (PBE)

Data for Sc3GeC after structural relaxation.

Structure (extended XYZ):
```
20
Lattice="11.709 0.000 0.300 4.781 6.032 -2.494 -4.781 6.032 2.494" Properties=species:S:1:pos:R:3 pbc="T T T"
Sc 10.650 4.345 0.383
Sc 7.197 3.624 0.015
Sc 4.513 5.192 0.193
Sc 1.059 7.720 -0.083
Sc 10.367 9.657 0.435
Sc 7.196 6.873 0.107
Sc 10.368 0.840 0.343
Sc 1.341 11.224 -0.043
Sc 1.342 2.408 -0.135
Sc 4.513 8.440 0.285
Sc 4.795 1.688 0.233
Sc 6.914 10.377 0.067
C 5.318 3.465 -1.172
C 6.391 5.175 1.472
C 6.391 8.599 1.472
C 5.318 6.890 -1.172
Ge 1.763 5.083 -0.553
Ge 2.837 6.982 2.091
Ge 9.946 6.982 0.853
Ge 8.873 5.083 -1.791
```

Calculated values
**Energy relative to the elements**: -0.541 eV/atom
**Total moment**: 0.049 μB per atom
**Volume**: 92.4 Å³/f.u.

=====

Entry 3:
## Sc4Ge2C (PBE)

Data for Sc4Ge2C after structural relaxation.

Structure (extended XYZ):
```
7
Lattice="-3.245 1.547 0.899 1.513 -1.133 7.412 2.659 3.926 -4.798" Properties=species:S:1:pos:R:3 pbc="T T T"
Ge 1.365 3.009 -0.251
Ge -0.438 1.331 3.765
Sc -0.930 1.957 0.915
Sc -0.480 4.510 -1.857
Sc 1.406 -0.170 5.370
Sc 1.857 2.384 2.599
C 0.000 0.000 0.000
```

Calculated values
**Energy relative to the elements**: -0.673 eV/atom
**Total moment**: 0.000 μB per atom
**Distance to the lowest polymorph of the same formula**: 100 meV/atom
**Volume**: 126.6 Å³/f.u.

=====

Entry 4:
## ScGeC (PBE)

Data for ScGeC after structural relaxation.

Structure (extended XYZ):
```
6
Lattice="-2.647 0.419 -1.971 -0.442 -3.295 -0.107 -3.809 1.918 8.330" Properties=species:S:1:pos:R:3 pbc="T T T"
Ge -3.553 -1.258 1.696
Ge -3.345 0.300 4.555
C -4.719 -1.153 3.285
C -2.178 0.195 2.966
Sc -0.982 0.088 1.338
Sc -5.915 -1.046 4.914
```

Calculated values
**Energy relative to the elements**: 0.603 eV/atom
**Total moment**: 0.000 μB per atom
**Volume**: 50.1 Å³/f.u.

=====

Entry 5:
## Sc6Ge2C (PBE)

Data for Sc6Ge2C after structural relaxation.

Structure (extended XYZ):
```
18
Lattice="-1.551 -5.488 -1.679 4.047 0.188 -4.352 7.920 -4.433 7.173" Properties=species:S:1:pos:R:3 pbc="T T T"
C 0.000 0.000 0.000
C 5.208 -4.867 0.571
Sc 3.641 -6.455 1.319
Sc 4.582 -5.254 -1.561
Sc 9.813 -4.703 2.332
Sc 3.640 -3.252 0.717
Sc 4.086 -1.498 -2.854
Sc 0.603 -5.030 -1.191
Sc 6.329 -8.235 3.996
Sc 6.776 -6.481 0.425
Sc 0.698 -1.483 -1.687
Sc 6.774 -3.278 -0.177
Sc 1.797 -3.817 -4.344
Sc 5.833 -4.479 2.703
Ge 2.619 -3.418 -1.773
Ge 5.331 -2.984 4.829
Ge 2.588 -1.449 2.344
Ge 7.796 -6.315 2.915
```

Calculated values
**Energy relative to the elements**: -0.368 eV/atom
**Total moment**: 0.001 μB per atom
**Volume**: 204.5 Å³/f.u.

=====

Entry 6:
## Sc3GeC (PBE)

Data for Sc3GeC after structural relaxation.

Structure (extended XYZ):
```
10
Lattice="-1.873 4.692 4.588 4.140 3.783 3.889 0.969 6.742 -0.430" Properties=species:S:1:pos:R:3 pbc="T T T"
Sc 2.102 2.959 2.994
Sc 2.011 10.690 7.665
Sc 1.133 12.257 5.054
Sc 4.160 11.405 5.448
Sc -0.925 3.812 2.599
Sc 1.225 4.527 0.382
C 2.699 12.695 6.714
C 0.536 2.522 1.334
Ge 1.212 5.701 3.015
Ge 2.023 9.516 5.032
```

Calculated values
**Energy relative to the elements**: -0.527 eV/atom
**Total moment**: 0.000 μB per atom
**Volume**: 94.7 Å³/f.u.

=====

Entry 7:
## Sc3GeC (PBE)

Data for Sc3GeC after structural relaxation.

Structure (extended XYZ):
```
10
Lattice="5.280 0.000 0.000 0.000 5.280 0.000 2.640 2.640 7.498" Properties=species:S:1:pos:R:3 pbc="T T T"
Sc 2.640 2.640 3.313
Sc 1.330 5.280 1.584
Sc 2.640 3.970 5.914
Sc 3.949 5.280 1.584
Sc 5.280 5.280 4.185
Sc 2.640 6.589 5.914
C 0.000 0.000 0.000
C 2.640 5.280 3.749
Ge 5.280 2.640 5.144
Ge 5.280 2.640 2.355
```

Calculated values
**Energy relative to the elements**: 0.105 eV/atom
**Total moment**: 0.000 μB per atom
**Volume**: 104.5 Å³/f.u.

=====

Entry 8:
## Sc3GeC (PBE)

Data for Sc3GeC after structural relaxation.

Structure (extended XYZ):
```
10
Lattice="-3.154 4.790 1.301 -4.621 0.396 -7.895 -3.249 -1.084 1.037" Properties=species:S:1:pos:R:3 pbc="T T T"
C -6.901 0.750 -5.862
C -3.542 3.284 1.144
Sc -6.799 4.412 -1.708
Sc -7.868 4.691 -4.771
Sc -2.575 -0.657 0.053
Sc -6.408 1.290 -3.755
Sc -4.035 2.744 -0.963
Sc -9.156 1.673 -5.788
Ge -5.131 0.245 -0.837
Ge -5.312 3.789 -3.880
```

Calculated values
**Energy relative to the elements**: -0.610 eV/atom
**Total moment**: 0.000 μB per atom
**Volume**: 89.9 Å³/f.u.

=====

Q: Number 8 is which compound?
A: Sc3GeC

=====

Q: energy relative to the elements of number 5 (Sc6Ge2C)?
A: -0.368 eV/atom

=====

Q: What is the formula in the sixth record?
A: Sc3GeC